Entry from Alexandria via LeMat-Bulk: a relaxed LiLa4Ir crystal (PBE).

The space group is F-43m (No. 216) and the conventional cell measures 8.886, 8.886 and 8.886 Å, with angles of 90.00, 90.00 and 90.00 degrees. The distinct sites, in fractional coordinates, are Li at (0.000, 0.000, 0.000), La at (0.122, 0.122, 0.378) and Ir at (0.250, 0.250, 0.750).

Its total magnetization is 0.01 μB/f.u. As for the total energy: -4.467 eV per atom. The value obtained for the energy above the most stable polymorph in this dataset is 785 meV per atom. The energy of formation from the pure elements comes out at 614 meV per atom.